Computed, not measured: Rb2CoI6 after structural relaxation at the GGA-PBE level of DFT.

Output
The symmetry is P4_2/mnm. The formation energy (no corrections) is -52.6 kJ per mole of atoms. The value obtained for the spin magnetization is 2.07 μB/cell.

```
Rb2CoI6
1.0
-6.829 -0.035 -3.565
0.865 -7.489 -1.583
-6.833 -3.563 13.122
Rb Co I
4 2 12
direct
0.000 0.000 0.668 Rb
0.500 0.500 0.832 Rb
0.000 0.000 0.332 Rb
0.500 0.500 0.168 Rb
0.500 0.500 0.500 Co
0.000 0.000 0.000 Co
0.830 0.170 0.123 I
0.738 0.262 0.500 I
0.330 0.330 0.377 I
0.170 0.830 0.123 I
0.762 0.762 0.000 I
0.830 0.170 0.877 I
0.670 0.670 0.623 I
0.670 0.670 0.377 I
0.238 0.238 0.000 I
0.330 0.330 0.623 I
0.170 0.830 0.877 I
0.262 0.738 0.500 I
```

Computed, not measured: Rb2CoReI6 after structural relaxation at the GGA-PBE level of DFT.

Output
The symmetry is I4/mmm. The formation energy (no corrections) is -27.9 kJ per mole of atoms. The value obtained for the spin magnetization is 4.80 μB/cell.

```
Rb2CoReI6
1.0
-0.894 -7.797 -1.550
2.704 -1.765 7.319
-4.365 -4.573 4.881
Rb I Re Co
2 6 1 1
direct
0.750 0.250 0.500 Rb
0.250 0.750 0.500 Rb
0.248 0.248 0.504 I
0.753 0.247 0.000 I
0.752 0.752 0.496 I
0.247 0.247 0.000 I
0.247 0.753 0.000 I
0.753 0.753 0.000 I
0.000 0.000 0.000 Re
0.500 0.500 0.000 Co
```

Computed, not measured: RbCo2RhI after structural relaxation at the GGA-PBE level of DFT.

Output
The symmetry is P4/mmm. The formation energy (no corrections) is 82.4 kJ per mole of atoms. The value obtained for the spin magnetization is 5.74 μB/cell.

```
RbCo2RhI
1.0
4.758 0.000 0.000
0.000 4.758 0.000
0.000 0.000 6.794
Co I Rh Rb
2 1 1 1
direct
0.000 0.500 0.000 Co
0.500 0.000 0.000 Co
0.500 0.500 0.500 I
0.000 0.000 0.000 Rh
0.000 0.000 0.500 Rb
```

Computed, not measured: Rb2CoRhI6 after structural relaxation at the GGA-PBE level of DFT.

Output
The symmetry is I4/mmm. The formation energy (no corrections) is -49.3 kJ per mole of atoms. The value obtained for the spin magnetization is 2.04 μB/cell.

```
Rb2CoRhI6
1.0
7.926 0.000 0.000
0.000 7.926 0.000
3.963 3.963 5.563
I Rb Co Rh
6 2 1 1
direct
0.247 0.247 0.000 I
0.247 0.753 0.000 I
0.751 0.751 0.499 I
0.753 0.753 0.000 I
0.753 0.247 0.000 I
0.249 0.249 0.501 I
0.750 0.250 0.500 Rb
0.250 0.750 0.500 Rb
0.500 0.500 0.000 Co
0.000 0.000 0.000 Rh
```

Computed, not measured: Rb2CoRuI6 after structural relaxation at the GGA-PBE level of DFT.

Output
The symmetry is I4/mmm. The formation energy (no corrections) is -39.5 kJ per mole of atoms. The value obtained for the spin magnetization is 3.22 μB/cell.

```
Rb2CoRuI6
1.0
-5.123 -1.376 -5.897
5.817 -3.264 -4.292
-0.838 -7.320 -2.898
Ru Rb I Co
1 2 6 1
direct
0.000 0.000 0.000 Ru
0.250 0.750 0.500 Rb
0.750 0.250 0.500 Rb
0.248 0.248 0.505 I
0.247 0.247 0.000 I
0.752 0.752 0.495 I
0.247 0.753 0.000 I
0.753 0.247 0.000 I
0.753 0.753 0.000 I
0.500 0.500 0.000 Co
```

Computed, not measured: Rb2CoSbI6 after structural relaxation at the GGA-PBE level of DFT.

Output
The symmetry is Fm-3m. The formation energy (no corrections) is -57.8 kJ per mole of atoms. The value obtained for the spin magnetization is 2.04 μB/cell.

```
Rb2CoSbI6
1.0
8.292 0.000 0.000
0.000 8.292 0.000
4.146 4.146 5.866
I Rb Co Sb
6 2 1 1
direct
0.261 0.261 0.000 I
0.261 0.739 0.000 I
0.739 0.261 0.000 I
0.739 0.739 0.522 I
0.261 0.261 0.478 I
0.739 0.739 0.000 I
0.750 0.250 0.500 Rb
0.250 0.750 0.500 Rb
0.500 0.500 0.000 Co
0.000 0.000 0.000 Sb
```

Computed, not measured: RbCoSb2I after structural relaxation at the GGA-PBE level of DFT.

Output
The symmetry is P4/mmm. The formation energy (no corrections) is -11.1 kJ per mole of atoms. The value obtained for the spin magnetization is 0.00 μB/cell.

```
RbCoSb2I
1.0
-0.183 -4.085 2.537
0.810 -2.529 -4.013
9.591 0.555 1.586
Rb Co Sb I
1 1 2 1
direct
0.500 0.500 0.500 Rb
0.000 0.000 0.000 Co
0.000 0.500 0.000 Sb
0.500 0.000 0.000 Sb
0.000 0.000 0.500 I
```

Computed, not measured: RbCoSb2I after structural relaxation at the GGA-PBE level of DFT.

Output
The symmetry is P4/mmm. The formation energy (no corrections) is 158.5 kJ per mole of atoms. The value obtained for the spin magnetization is 4.95 μB/cell.

```
RbCoSb2I
1.0
-1.631 6.201 -0.019
-4.706 -1.250 -4.171
-4.053 -1.051 4.887
Sb Co Rb I
2 1 1 1
direct
0.000 0.500 0.000 Sb
0.500 0.000 0.000 Sb
0.500 0.500 0.500 Co
0.000 0.000 0.000 Rb
0.000 0.000 0.500 I
```

Computed, not measured: Rb2ScCoI6 after structural relaxation at the GGA-PBE level of DFT.

Output
The symmetry is Fm-3m. The formation energy (no corrections) is -90.9 kJ per mole of atoms. The value obtained for the spin magnetization is 2.00 μB/cell.

```
Rb2ScCoI6
1.0
-0.609 8.098 -0.356
-1.497 -0.463 -7.976
-6.684 3.441 -3.088
I Sc Co Rb
6 1 1 2
direct
0.247 0.247 0.507 I
0.753 0.753 0.493 I
0.753 0.247 0.000 I
0.247 0.753 0.000 I
0.753 0.753 0.000 I
0.247 0.247 0.000 I
0.500 0.500 0.000 Sc
0.000 0.000 0.000 Co
0.250 0.750 0.500 Rb
0.750 0.250 0.500 Rb
```

Computed, not measured: RbScCoI6 after structural relaxation at the GGA-PBE level of DFT.

Output
The symmetry is C2. The formation energy (no corrections) is -81.8 kJ per mole of atoms. The value obtained for the spin magnetization is 3.02 μB/cell.

```
RbScCoI6
1.0
-2.661 6.589 -2.159
-1.981 1.055 -7.064
-7.681 -2.529 1.823
Co Sc I Rb
1 1 6 1
direct
0.335 0.332 0.500 Co
0.667 0.667 0.500 Sc
0.367 0.624 0.303 I
0.008 0.373 0.300 I
0.008 0.619 0.699 I
0.624 0.367 0.696 I
0.624 0.009 0.304 I
0.367 0.009 0.697 I
0.000 0.000 0.000 Rb
```

Computed, not measured: Rb2CoSeI6 after structural relaxation at the GGA-PBE level of DFT.

Output
The symmetry is I4/mmm. The formation energy (no corrections) is -47.7 kJ per mole of atoms. The value obtained for the spin magnetization is 1.16 μB/cell.

```
Rb2CoSeI6
1.0
8.173 0.000 0.000
0.000 8.173 0.000
4.087 4.087 5.706
Rb I Se Co
2 6 1 1
direct
0.250 0.750 0.500 Rb
0.750 0.250 0.500 Rb
0.268 0.268 0.000 I
0.256 0.256 0.488 I
0.744 0.744 0.512 I
0.732 0.732 0.000 I
0.732 0.268 0.000 I
0.268 0.732 0.000 I
0.000 0.000 0.000 Se
0.500 0.500 0.000 Co
```

Computed, not measured: Rb2CoSiI6 after structural relaxation at the GGA-PBE level of DFT.

Output
The symmetry is I4/mmm. The formation energy (no corrections) is -53.1 kJ per mole of atoms. The value obtained for the spin magnetization is 2.31 μB/cell.

```
Rb2CoSiI6
1.0
-0.363 4.585 -6.620
-1.003 -6.601 -4.517
-6.322 -0.570 -4.957
Si I Co Rb
1 6 1 2
direct
0.500 0.500 0.000 Si
0.246 0.246 0.509 I
0.246 0.246 0.000 I
0.754 0.754 0.000 I
0.754 0.754 0.491 I
0.246 0.754 0.000 I
0.754 0.246 0.000 I
0.000 0.000 0.000 Co
0.250 0.750 0.500 Rb
0.750 0.250 0.500 Rb
```

Computed, not measured: Rb2SrCoI6 after structural relaxation at the GGA-PBE level of DFT.

Output
The symmetry is Fm-3m. The formation energy (no corrections) is -97.4 kJ per mole of atoms. The value obtained for the spin magnetization is 3.00 μB/cell.

```
Rb2SrCoI6
1.0
-2.820 5.154 6.174
-7.855 -3.170 -0.941
-4.116 -3.252 6.717
Co I Rb Sr
1 6 2 1
direct
0.500 0.500 0.000 Co
0.732 0.268 0.000 I
0.268 0.268 0.000 I
0.268 0.732 0.000 I
0.732 0.732 0.535 I
0.732 0.732 0.000 I
0.268 0.268 0.465 I
0.250 0.750 0.500 Rb
0.750 0.250 0.500 Rb
0.000 0.000 0.000 Sr
```

Computed, not measured: Rb2TiCoI6 after structural relaxation at the GGA-PBE level of DFT.

Output
The symmetry is I4/mmm. The formation energy (no corrections) is -68.9 kJ per mole of atoms. The value obtained for the spin magnetization is 1.93 μB/cell.

```
Rb2TiCoI6
1.0
8.057 0.000 0.000
0.000 8.057 0.000
4.029 4.029 5.666
I Co Rb Ti
6 1 2 1
direct
0.249 0.249 0.000 I
0.751 0.249 0.000 I
0.750 0.750 0.499 I
0.250 0.250 0.501 I
0.751 0.751 0.000 I
0.249 0.751 0.000 I
0.000 0.000 0.000 Co
0.750 0.250 0.500 Rb
0.250 0.750 0.500 Rb
0.500 0.500 0.000 Ti
```

Computed, not measured: Rb2YCoI6 after structural relaxation at the GGA-PBE level of DFT.

Output
The symmetry is Fm-3m. The formation energy (no corrections) is -97.8 kJ per mole of atoms. The value obtained for the spin magnetization is 2.00 μB/cell.

```
Rb2YCoI6
1.0
-0.016 -7.465 -3.607
4.258 3.087 -6.409
7.149 -3.507 -2.302
Y Co I Rb
1 1 6 2
direct
0.000 0.000 0.000 Y
0.500 0.500 0.000 Co
0.742 0.258 0.000 I
0.741 0.741 0.517 I
0.742 0.742 0.000 I
0.259 0.259 0.483 I
0.258 0.742 0.000 I
0.258 0.258 0.000 I
0.250 0.750 0.500 Rb
0.750 0.250 0.500 Rb
```

Computed, not measured: Rb2ZnCoI6 after structural relaxation at the GGA-PBE level of DFT.

Output
The symmetry is I4/mmm. The formation energy (no corrections) is -61.8 kJ per mole of atoms. The value obtained for the spin magnetization is 0.96 μB/cell.

```
Rb2ZnCoI6
1.0
-7.828 -2.741 0.693
2.324 -5.075 6.174
-3.859 0.217 7.242
Rb Zn I Co
2 1 6 1
direct
0.250 0.750 0.500 Rb
0.750 0.250 0.500 Rb
0.000 0.000 0.000 Zn
0.780 0.780 0.440 I
0.279 0.721 0.000 I
0.721 0.721 0.000 I
0.279 0.279 0.000 I
0.220 0.220 0.560 I
0.721 0.279 0.000 I
0.500 0.500 0.000 Co
```

Computed, not measured: CoRe2I after structural relaxation at the GGA-PBE level of DFT.

Output
The symmetry is Fm-3m. The formation energy (no corrections) is 112.6 kJ per mole of atoms. The value obtained for the spin magnetization is 0.00 μB/cell.

```
CoRe2I
1.0
3.233 -2.366 -1.871
2.972 -2.074 2.534
-0.037 -4.412 0.291
I Re Co
1 2 1
direct
0.500 0.500 0.500 I
0.750 0.750 0.750 Re
0.250 0.250 0.250 Re
0.000 0.000 0.000 Co
```

Computed, not measured: CoRe2I after structural relaxation at the GGA-PBE level of DFT.

Output
The symmetry is I-42d. The formation energy (no corrections) is 154.4 kJ per mole of atoms. The value obtained for the spin magnetization is 0.00 μB/cell.

```
CoRe2I
1.0
-3.167 4.347 -1.368
-1.786 -2.717 -4.497
-6.754 -1.355 0.077
Re I Co
4 2 2
direct
0.875 0.813 0.750 Re
0.187 0.625 0.250 Re
0.375 0.437 0.750 Re
0.563 0.125 0.250 Re
0.000 0.000 0.000 I
0.750 0.250 0.500 I
0.500 0.500 0.000 Co
0.250 0.750 0.500 Co
```

Computed, not measured: Co2ReI after structural relaxation at the GGA-PBE level of DFT.

Output
The symmetry is Fm-3m. The formation energy (no corrections) is 120.6 kJ per mole of atoms. The value obtained for the spin magnetization is 2.29 μB/cell.

```
Co2ReI
1.0
0.000 3.099 3.099
3.099 0.000 3.099
3.099 3.099 0.000
Co I Re
2 1 1
direct
0.250 0.250 0.250 Co
0.750 0.750 0.750 Co
0.000 0.000 0.000 I
0.500 0.500 0.500 Re
```

Computed, not measured: CoReI3 after structural relaxation at the GGA-PBE level of DFT.

Output
The symmetry is Pm-3m. The formation energy (no corrections) is 135.7 kJ per mole of atoms. The value obtained for the spin magnetization is 2.82 μB/cell.

```
CoReI3
1.0
5.412 0.000 0.000
0.000 5.412 0.000
0.000 0.000 5.412
I Co Re
3 1 1
direct
0.500 0.000 0.000 I
0.000 0.500 0.000 I
0.000 0.000 0.500 I
0.500 0.500 0.500 Co
0.000 0.000 0.000 Re
```

Computed, not measured: Co3ReI after structural relaxation at the GGA-PBE level of DFT.

Output
The symmetry is Pm-3m. The formation energy (no corrections) is 198.5 kJ per mole of atoms. The value obtained for the spin magnetization is 6.70 μB/cell.

```
Co3ReI
1.0
4.528 0.000 0.000
0.000 4.528 0.000
0.000 0.000 4.528
Co Re I
3 1 1
direct
0.000 0.000 0.500 Co
0.000 0.500 0.000 Co
0.500 0.000 0.000 Co
0.500 0.500 0.500 Re
0.000 0.000 0.000 I
```

Computed, not measured: Co3ReI after structural relaxation at the GGA-PBE level of DFT.

Output
The symmetry is Pm-3m. The formation energy (no corrections) is 147.0 kJ per mole of atoms. The value obtained for the spin magnetization is 2.18 μB/cell.

```
Co3ReI
1.0
-1.625 1.479 3.991
-2.685 -3.671 0.267
3.303 -2.257 2.181
Co Re I
3 1 1
direct
0.000 0.500 0.000 Co
0.000 0.000 0.500 Co
0.500 0.000 0.000 Co
0.000 0.000 0.000 Re
0.500 0.500 0.500 I
```

Computed, not measured: Co2ReI after structural relaxation at the GGA-PBE level of DFT.

Output
The symmetry is I-42d. The formation energy (no corrections) is 99.7 kJ per mole of atoms. The value obtained for the spin magnetization is 0.00 μB/cell.

```
Co2ReI
1.0
-0.681 5.848 0.296
0.293 -0.263 5.882
4.422 3.340 2.883
Co Re I
4 2 2
direct
0.659 0.125 0.250 Co
0.875 0.909 0.750 Co
0.091 0.625 0.250 Co
0.375 0.341 0.750 Co
0.000 0.000 0.000 Re
0.750 0.250 0.500 Re
0.500 0.500 0.000 I
0.250 0.750 0.500 I
```

Computed, not measured: CoRe3I after structural relaxation at the GGA-PBE level of DFT.

Output
The symmetry is Pm-3m. The formation energy (no corrections) is 195.0 kJ per mole of atoms. The value obtained for the spin magnetization is 0.80 μB/cell.

```
CoRe3I
1.0
4.516 0.000 0.000
0.000 4.516 0.000
0.000 0.000 4.516
Co Re I
1 3 1
direct
0.000 0.000 0.000 Co
0.500 0.000 0.000 Re
0.000 0.000 0.500 Re
0.000 0.500 0.000 Re
0.500 0.500 0.500 I
```